(1)
Material: H2Pd4Pb
Method: DFT, GGA-PBE
State: optimized geometry

## Properties
Crystal system = monoclinic
Energy relative to the lowest polymorph listed for this composition = 0.000 eV/atom

a b c (Å): 5.3448 5.3448 7.6142
angles (deg): 106.98 107.48 98.97
Positions (direct):
Pb  0.0476  0.0475  0.0000
Pb  0.1871  0.6871  0.5000
H  0.6411  0.4878  0.8361
H  0.1851  0.4865  0.8451
H  0.6413  0.3399  0.1549
H  0.6516  0.8050  0.1639
Pd  0.7599  0.9458  0.6066
Pd  0.3466  0.2198  0.7787
Pd  0.3392  0.1533  0.3934
Pd  0.4657  0.7885  0.9026
Pd  0.8859  0.5631  0.0973
Pd  0.7950  0.1658  0.3030
Pd  0.4411  0.5679  0.2213
Pd  0.8628  0.4920  0.6970



(2)
Material: PrRh3Pb3
Method: DFT, GGA-PBE
State: optimized geometry

## Properties
Crystal system = cubic
Energy relative to the lowest polymorph listed for this composition = 0.457 eV/atom

a b c (Å): 7.3529 7.3529 7.3529
angles (deg): 90.00 90.00 90.00
Positions (direct):
Pb  0.0000  0.5000  0.7500
Pb  0.0000  0.5000  0.2500
Pb  0.7500  0.0000  0.5000
Pb  0.5000  0.2500  0.0000
Pb  0.2500  0.0000  0.5000
Pb  0.5000  0.7500  0.0000
Rh  0.0000  0.7500  0.5000
Rh  0.7500  0.5000  0.0000
Rh  0.0000  0.2500  0.5000
Rh  0.2500  0.5000  0.0000
Rh  0.5000  0.0000  0.7500
Rh  0.5000  0.0000  0.2500
Pr  0.5000  0.5000  0.5000
Pr  0.0000  0.0000  0.0000



(3)
Material: La6Ni2Rh
Method: DFT, GGA-PBE
State: optimized geometry

## Properties
Crystal system = monoclinic
Energy = -102.61 eV per cell

a b c (Å): 6.8139 7.3890 10.6651
angles (deg): 90.00 86.10 90.00
Positions (direct):
Rh  0.0000  0.0000  0.5000
Rh  0.5000  0.5000  0.0000
La  0.3306  0.8169  0.5743
La  0.6658  0.4393  0.7470
La  0.1694  0.3169  0.9257
La  0.3342  0.5607  0.2530
La  0.8229  0.6752  0.4156
La  0.8306  0.6831  0.0743
La  0.6771  0.1752  0.0844
La  0.8342  0.9393  0.7530
La  0.3229  0.8248  0.9156
La  0.1658  0.0607  0.2470
La  0.1771  0.3248  0.5844
La  0.6694  0.1831  0.4257
Ni  0.0526  0.6112  0.7781
Ni  0.5526  0.8888  0.2781
Ni  0.4474  0.1112  0.7219
Ni  0.9474  0.3888  0.2219



(4)
Material: ReSbIF2
Method: DFT, GGA-PBE
State: optimized geometry

## Properties
Crystal system = tetragonal
Formation energy without anion corrections = -0.507 eV/atom
Energy relative to the lowest polymorph listed for this composition = 0.000 eV/atom

a b c (Å): 4.3126 5.3798 4.3126
angles (deg): 90.00 90.00 90.00
Last column: magnetic moment on the atom in μB.
Positions (direct):
F  0.5000  0.0000  0.0000  0.09
F  0.0000  0.0000  0.5000  0.03
Re  0.0000  0.0000  0.0000  1.14
Sb  0.0000  0.5000  0.0000  -0.05
I  0.5000  0.5000  0.5000  -0.01